Entry 1:
UBr2Cl3: optimized geometry, PBE-GGA.

Cell lengths 6.660, 7.300, 10.167 Å; angles 107.81, 90.92, 115.19 degrees
Element x y z (fractional)
Cl  0.118  0.617  0.851
Cl  0.882  0.383  0.149
Cl  0.304  0.008  0.246
Cl  0.696  0.992  0.754
Cl  0.760  0.821  0.044
Cl  0.240  0.179  0.956
Br  0.082  0.817  0.566
Br  0.548  0.419  0.667
Br  0.918  0.183  0.434
Br  0.452  0.581  0.333
U  0.099  0.207  0.208
U  0.901  0.793  0.792

Computed properties:
Symmetry: No. 2


Entry 2:
UBr2Cl: optimized geometry, PBE-GGA.

Cell lengths 3.942, 9.127, 7.225 Å; angles 90.00, 105.67, 90.00 degrees
Element x y z (fractional)
U  0.739  0.750  0.478
U  0.261  0.250  0.522
Br  0.649  0.064  0.299
Br  0.351  0.936  0.701
Br  0.351  0.564  0.701
Br  0.649  0.436  0.299
Cl  0.897  0.250  0.793
Cl  0.103  0.750  0.207

Computed properties:
Polymorph energy (0 for the lowest one), meV/atom: 0.0
Symmetry: No. 11


Entry 3:
UBrCl4: optimized geometry, PBE-GGA.

Cell lengths 6.533, 7.217, 10.055 Å; angles 107.92, 90.94, 116.32 degrees
Element x y z (fractional)
Cl  0.450  0.577  0.334
Cl  0.311  0.013  0.251
Cl  0.245  0.183  0.957
Cl  0.886  0.391  0.152
Cl  0.689  0.987  0.749
Cl  0.114  0.609  0.848
Cl  0.550  0.423  0.666
Cl  0.755  0.817  0.043
Br  0.082  0.815  0.562
Br  0.918  0.185  0.438
U  0.893  0.785  0.788
U  0.107  0.215  0.212

Computed properties:
Symmetry: No. 2


Energy
In order: -4.807 -5.553 -4.915
Unit: eV/atom